(1)
! BaMn4Si GGA-PBE optimized geometry; values from VASP
&SYSTEM
  ibrav = 0, nat = 6, ntyp = 3
/
ATOMIC_SPECIES
Ba 137.33 Ba.upf
Mn 54.94 Mn.upf
Si 28.09 Si.upf
CELL_PARAMETERS angstrom
0.845 3.907 3.434
-3.835 1.489 3.293
0.390 -1.056 5.149
ATOMIC_POSITIONS angstrom
Ba 0.000 0.000 0.000
Mn -0.575 3.538 6.164
Mn -0.796 1.133 6.994
Mn -2.843 2.366 6.095
Mn -0.985 1.645 4.500
Si -1.950 3.256 8.907
! **Formation energy without anion corrections**: 702 meV per atom
! **DOS(E_F)**: 1.250 states/eV per atom

=====

(2)
! BaMnSi2 GGA-PBE optimized geometry; values from VASP
&SYSTEM
  ibrav = 0, nat = 4, ntyp = 3
/
ATOMIC_SPECIES
Ba 137.33 Ba.upf
Mn 54.94 Mn.upf
Si 28.09 Si.upf
CELL_PARAMETERS angstrom
3.145 0.000 0.000
0.000 3.539 0.000
0.000 0.000 7.172
ATOMIC_POSITIONS angstrom
Ba 1.573 1.769 1.793
Mn 1.573 1.769 5.379
Si 0.000 0.000 6.568
Si 0.000 0.000 4.190
! **Formation energy without anion corrections**: 16 meV per atom
! **DOS(E_F)**: 0.913 states/eV per atom

=====

(3)
! BaMnSi2 GGA-PBE optimized geometry; values from VASP
&SYSTEM
  ibrav = 0, nat = 4, ntyp = 3
/
ATOMIC_SPECIES
Ba 137.33 Ba.upf
Mn 54.94 Mn.upf
Si 28.09 Si.upf
CELL_PARAMETERS angstrom
3.242 0.000 0.000
0.000 3.242 0.000
0.000 0.000 7.398
ATOMIC_POSITIONS angstrom
Ba 0.000 0.000 3.754
Mn 1.621 1.621 6.373
Si 0.000 0.000 7.135
Si 1.621 1.621 1.233
! **Formation energy without anion corrections**: 208 meV per atom
! **DOS(E_F)**: 0.893 states/eV per atom

=====

(4)
! BaMnSi GGA-PBE optimized geometry; values from VASP
&SYSTEM
  ibrav = 0, nat = 3, ntyp = 3
/
ATOMIC_SPECIES
Ba 137.33 Ba.upf
Mn 54.94 Mn.upf
Si 28.09 Si.upf
CELL_PARAMETERS angstrom
5.065 0.000 0.000
2.532 4.386 0.000
2.532 1.462 4.135
ATOMIC_POSITIONS angstrom
Ba 0.000 0.000 0.000
Mn 5.065 2.924 2.068
Si 7.597 4.386 3.101
! **Formation energy without anion corrections**: 364 meV per atom
! **DOS(E_F)**: 0.104 states/eV per atom

=====

(5)
! BaMnSi2 GGA-PBE optimized geometry; values from VASP
&SYSTEM
  ibrav = 0, nat = 4, ntyp = 3
/
ATOMIC_SPECIES
Si 28.09 Si.upf
Mn 54.94 Mn.upf
Ba 137.33 Ba.upf
CELL_PARAMETERS angstrom
-1.428 1.607 4.326
-4.046 -1.722 2.001
0.256 -2.897 3.858
ATOMIC_POSITIONS angstrom
Si -1.305 -0.753 2.546
Si -3.914 -2.259 7.639
Mn 0.000 0.000 0.000
Ba -2.609 -1.506 5.093
! **Formation energy without anion corrections**: 807 meV per atom
! **DOS(E_F)**: 2.841 states/eV per atom

=====

(6)
! BaMnSi2 GGA-PBE optimized geometry; values from VASP
&SYSTEM
  ibrav = 0, nat = 4, ntyp = 3
/
ATOMIC_SPECIES
Ba 137.33 Ba.upf
Mn 54.94 Mn.upf
Si 28.09 Si.upf
CELL_PARAMETERS angstrom
4.991 0.000 0.000
2.495 4.322 0.000
2.495 1.441 4.075
ATOMIC_POSITIONS angstrom
Ba 4.991 2.881 2.037
Mn 7.486 4.322 3.056
Si 0.000 0.000 0.000
Si 2.495 1.441 1.019
! **Formation energy without anion corrections**: 607 meV per atom
! **DOS(E_F)**: 0.685 states/eV per atom

=====

(7)
! Ba3MnSi GGA-PBE optimized geometry; values from VASP
&SYSTEM
  ibrav = 0, nat = 5, ntyp = 3
/
ATOMIC_SPECIES
Si 28.09 Si.upf
Mn 54.94 Mn.upf
Ba 137.33 Ba.upf
CELL_PARAMETERS angstrom
-3.901 0.578 5.022
-3.536 -4.845 -2.189
3.613 -4.118 3.280
ATOMIC_POSITIONS angstrom
Si 0.000 0.000 0.000
Mn -1.912 -4.193 3.057
Ba -1.768 -2.423 -1.094
Ba 1.806 -2.059 1.640
Ba -1.950 0.289 2.511
! **Offset from the most stable computed form**: 0.0 meV/atom
! **Formation energy without anion corrections**: 434 meV per atom
! **DOS(E_F)**: 1.901 states/eV per atom

=====

(8)
! BaMnSi2 GGA-PBE optimized geometry; values from VASP
&SYSTEM
  ibrav = 0, nat = 4, ntyp = 3
/
ATOMIC_SPECIES
Ba 137.33 Ba.upf
Mn 54.94 Mn.upf
Si 28.09 Si.upf
CELL_PARAMETERS angstrom
-7.782 -1.432 0.001
2.773 -0.153 3.681
-2.986 2.335 2.338
ATOMIC_POSITIONS angstrom
Ba -0.107 1.091 3.010
Mn -2.505 -0.793 1.841
Si 0.000 0.000 0.000
Si -5.384 0.451 1.170
! **Formation energy without anion corrections**: 547 meV per atom
! **DOS(E_F)**: 0.642 states/eV per atom

=====

- Among the records above, which one has the highest formation energy without anion corrections?
  number 5

=====

- The highest DOS(E_F) belongs to which entry?
  number 5

=====

- Which of these has the lowest DOS(E_F)?
  BaMnSi

=====

- Among the records above, which one has the highest DOS(E_F)?
  number 5